Record 1
VASP calculation (PBE-GGA) on BaSn3Pd after structural relaxation.

abc: 6.0802 6.0802 6.0802
angles: 90.00 90.00 90.00
Closest atoms and distances in Å follow each position.
Atoms (fractional coordinates):
Sn1 0.0000 0.0000 0.5000  2 Ba 3.04
Sn2 0.0000 0.5000 0.0000  2 Ba 3.04
Sn3 0.5000 0.0000 0.0000  2 Ba 3.04
Pd1 0.5000 0.5000 0.5000  12 Sn 4.30
Ba1 0.0000 0.0000 0.0000  6 Sn 3.04

Values from the calculation:
Space-group type: Pm-3m (221)
ρ: 4.4 g/cm³
ΔH_f (0 K): 1.33 eV/atom
Magnetization: 0.0 μB/f.u.
Calculated volume: 44.957 Å³/atom

***

Record 2
VASP calculation (PBE-GGA) on Ac6CuGe3 after structural relaxation.

abc: 9.0292 9.0292 9.0292
angles: 85.42 85.42 85.42
Closest atoms and distances in Å follow each position.
Atoms (fractional coordinates):
Ac1 0.1772 0.5218 0.3994  3 Ge 3.08-3.44, 1 Cu 3.11
Ac2 0.5218 0.3994 0.1772  3 Ge 3.08-3.44, 1 Cu 3.11
Ac3 0.8534 0.7076 0.1045  1 Cu 3.09, 3 Ge 3.15-3.28
Ac4 0.2924 0.8955 0.1466  1 Cu 3.09, 3 Ge 3.15-3.28
Ac5 0.6006 0.8228 0.4782  3 Ge 3.08-3.44, 1 Cu 3.11
Ac6 0.1045 0.8534 0.7076  1 Cu 3.09, 3 Ge 3.15-3.28
Ac7 0.8228 0.4782 0.6006  3 Ge 3.08-3.44, 1 Cu 3.11
Ac8 0.3994 0.1772 0.5218  3 Ge 3.08-3.44, 1 Cu 3.11
Ac9 0.7076 0.1045 0.8534  1 Cu 3.09, 3 Ge 3.15-3.28
Ac10 0.4782 0.6006 0.8228  3 Ge 3.08-3.44, 1 Cu 3.11
Ac11 0.8955 0.1466 0.2924  1 Cu 3.09, 3 Ge 3.15-3.28
Ac12 0.1466 0.2924 0.8955  1 Cu 3.09, 3 Ge 3.15-3.28
Ge1 0.7965 0.4171 0.9521  6 Ac 3.08-3.44
Ge2 0.5829 0.0479 0.2035  6 Ac 3.08-3.44
Ge3 0.4171 0.9521 0.7965  6 Ac 3.08-3.44
Ge4 0.0479 0.2035 0.5829  6 Ac 3.08-3.44
Ge5 0.2035 0.5829 0.0479  6 Ac 3.08-3.44
Ge6 0.9521 0.7965 0.4171  6 Ac 3.08-3.44
Cu1 0.0000 0.0000 0.0000  6 Ac 3.09
Cu2 0.5000 0.5000 0.5000  6 Ac 3.11

Values from the calculation:
Space-group type: R-3 (148)
ρ: 7.5 g/cm³
ΔH_f (0 K): -0.33 eV/atom
Magnetization: 0.0 μB/f.u.
Calculated volume: 36.471 Å³/atom

***

Record 3
VASP calculation (PBE-GGA) on Cr2TcP after structural relaxation.

abc: 2.9751 3.9037 4.2758
angles: 90.00 90.00 90.00
Closest atoms and distances in Å follow each position.
Atoms (fractional coordinates):
Cr1 0.0000 0.0000 0.0000  4 Cr 2.45, 4 P 2.60
Cr2 0.5000 0.5000 0.0000  4 Cr 2.45, 4 Tc 2.60
Tc1 0.0000 0.5000 0.5000  4 P 2.45, 4 Cr 2.60
P1 0.5000 0.0000 0.5000  4 Tc 2.45, 4 Cr 2.60

Values from the calculation:
Space-group type: Pmmm (47)
ρ: 7.8 g/cm³
ΔH_f (0 K): -0.12 eV/atom
Magnetization: 0.0 μB/f.u.
Calculated volume: 12.415 Å³/atom